A crystal of ZnSbF5 relaxed with PBEsol, computed with meta-GGA SCAN.

Cell and atoms, written as POSCAR:
```
ZnSbF5
1.0
4.3866 -2.9081 0.0000
4.3866 2.9081 0.0000
-4.1099 0.0000 8.1788
Zn Sb F
2 2 10
Direct
0.2390 0.7610 0.5000
0.7610 0.2390 0.0000
0.0206 0.5252 0.7578
0.5252 0.0206 0.2578
0.1508 0.9775 0.0990
0.2617 0.4457 0.2949
0.3360 0.9823 0.4098
0.4457 0.2617 0.7949
0.5725 0.6223 0.6664
0.5965 0.9989 0.0393
0.6223 0.5725 0.1664
0.9775 0.1508 0.5990
0.9823 0.3360 0.9098
0.9989 0.5965 0.5393
```

Computed properties:
As for the uncorrected formation energy: -2.372 eV per atom. As for the symmetry: No. 9. The crystal system is monoclinic. The calculation puts the magnetization at 0.00 μB/f.u. The calculation puts the energy above the most stable polymorph in this dataset at 0.045 eV/atom. The value obtained for the density of states at the Fermi level is 0.0 states/eV/cell. As for the calculated volume: 208.7 Å³/cell.

A crystal of TaMn2Mo relaxed with PBEsol, computed with meta-GGA SCAN.

Cell and atoms, written as POSCAR:
```
TaMn2Mo
1.0
1.4367 0.8295 7.7580
-1.4367 0.8295 7.7580
0.0000 -1.6590 7.7580
Ta Mn Mo
1 2 1
Direct
0.0000 0.0000 0.0000
0.2473 0.2473 0.2473
0.7527 0.7527 0.7527
0.5000 0.5000 0.5000
```

Computed properties:
As for the symmetry: No. 166. The crystal system is trigonal. The calculation puts the magnetization at 0.01 μB/f.u. The calculation puts the energy above the most stable polymorph in this dataset at 0.403 eV/atom. The value obtained for the density of states at the Fermi level is 3.6 states/eV/cell. As for the calculated volume: 55.5 Å³/cell. The value obtained for the energy relative to the elements is 0.4045 eV/atom.

A crystal of In2Rh3S2 relaxed with PBEsol, computed with meta-GGA SCAN.

Cell and atoms, written as POSCAR:
```
In2Rh3S2
1.0
2.7885 1.6099 4.4921
-2.7885 1.6099 4.4921
0.0000 -3.2199 4.4921
In Rh S
2 3 2
Direct
0.0000 0.0000 0.0000
0.5000 0.5000 0.5000
0.0000 0.5000 0.5000
0.5000 0.0000 0.5000
0.5000 0.5000 0.0000
0.2141 0.2141 0.2141
0.7859 0.7859 0.7859
```

Computed properties:
As for the uncorrected formation energy: -0.592 eV per atom. As for the symmetry: No. 166. The crystal system is trigonal. The calculation puts the magnetization at 0.00 μB/f.u. The value obtained for the density of states at the Fermi level is 3.5 states/eV/cell. As for the calculated volume: 121.0 Å³/cell.

A crystal of MgCd2Ag relaxed with PBEsol, computed with meta-GGA SCAN.

Cell and atoms, written as POSCAR:
```
MgCd2Ag
1.0
4.1458 0.0000 0.0000
0.0000 4.2441 0.0000
0.0000 0.0000 4.3441
Mg Cd Ag
1 2 1
Direct
0.0000 0.0000 0.0000
0.0000 0.5000 0.5000
0.5000 0.0000 0.5000
0.5000 0.5000 0.0000
```

Computed properties:
As for the symmetry: No. 47. The crystal system is orthorhombic. The calculation puts the magnetization at 0.00 μB/f.u. The calculation puts the energy above the most stable polymorph in this dataset at 0.009 eV/atom. The value obtained for the density of states at the Fermi level is 1.2 states/eV/cell. As for the calculated volume: 76.4 Å³/cell. The value obtained for the energy relative to the elements is -0.1191 eV/atom.

A crystal of RbZnSb2As relaxed with PBEsol, computed with meta-GGA SCAN.

Cell and atoms, written as POSCAR:
```
RbZnSb2As
1.0
5.8918 0.0000 0.0000
0.0000 5.8918 0.0000
0.0000 0.0000 5.5055
Rb Zn Sb As
1 1 2 1
Direct
0.0000 0.0000 0.0000
0.5000 0.5000 0.5000
0.0000 0.5000 0.0000
0.5000 0.0000 0.0000
0.0000 0.0000 0.5000
```

Computed properties:
As for the uncorrected formation energy: 1.757 eV per atom. As for the symmetry: No. 123. The crystal system is tetragonal. The calculation puts the magnetization at 0.00 μB/f.u. The value obtained for the density of states at the Fermi level is 6.3 states/eV/cell. As for the calculated volume: 191.1 Å³/cell.

A crystal of Li2TaPt relaxed with PBEsol, computed with meta-GGA SCAN.

Cell and atoms, written as POSCAR:
```
Li2TaPt
1.0
0.0000 2.9676 2.9676
2.9676 0.0000 2.9676
2.9676 2.9676 0.0000
Li Ta Pt
2 1 1
Direct
0.2500 0.2500 0.2500
0.7500 0.7500 0.7500
0.0000 0.0000 0.0000
0.5000 0.5000 0.5000
```

Computed properties:
As for the symmetry: No. 225. The crystal system is cubic. The calculation puts the magnetization at 0.00 μB/f.u. The calculation puts the energy above the most stable polymorph in this dataset at 0.281 eV/atom. The value obtained for the density of states at the Fermi level is 3.0 states/eV/cell. As for the calculated volume: 52.3 Å³/cell. The value obtained for the energy relative to the elements is 0.0342 eV/atom.

A crystal of Mg2Nb2FeO8 relaxed with PBEsol, computed with meta-GGA SCAN.

Cell and atoms, written as POSCAR:
```
Mg2Nb2FeO8
1.0
9.4343 -2.9746 0.0000
9.4343 2.9746 0.0000
-0.0887 0.0000 5.1320
Mg Nb Fe O
4 4 2 16
Direct
0.0873 0.3703 0.2530
0.3703 0.0873 0.7530
0.6297 0.9127 0.2470
0.9127 0.6297 0.7470
0.2201 0.5504 0.2503
0.4496 0.7799 0.2497
0.5504 0.2201 0.7503
0.7799 0.4496 0.7497
0.1330 0.8670 0.7500
0.8670 0.1330 0.2500
0.0462 0.3347 0.6140
0.0671 0.8165 0.0836
0.1835 0.9329 0.4164
0.2127 0.4130 0.9573
0.3130 0.5496 0.5941
0.3347 0.0462 0.1140
0.4130 0.2127 0.4573
0.4504 0.6870 0.9059
0.5496 0.3130 0.0941
0.5870 0.7873 0.5427
0.6653 0.9538 0.8860
0.6870 0.4504 0.4059
0.7873 0.5870 0.0427
0.8165 0.0671 0.5836
0.9329 0.1835 0.9164
0.9538 0.6653 0.3860
```

Computed properties:
As for the uncorrected formation energy: -2.645 eV per atom. As for the symmetry: No. 15. The crystal system is monoclinic. The calculation puts the magnetization at 4.00 μB/f.u. The value obtained for the density of states at the Fermi level is 0.3 states/eV/cell. As for the calculated volume: 288.0 Å³/cell.

A crystal of ZnSiNi6 relaxed with PBEsol, computed with meta-GGA SCAN.

Cell and atoms, written as POSCAR:
```
ZnSiNi6
1.0
3.4877 -4.9334 0.0000
3.4877 4.9334 0.0000
0.0000 0.0000 9.8692
Zn Si Ni
4 4 24
Direct
0.0000 0.0000 0.2493
0.0000 0.0000 0.7507
0.2457 0.7543 0.0000
0.7543 0.2457 0.0000
0.2454 0.7546 0.5000
0.5000 0.5000 0.2484
0.5000 0.5000 0.7516
0.7546 0.2454 0.5000
0.0000 0.0000 0.0000
0.0000 0.0000 0.5000
0.1295 0.3807 0.3774
0.1295 0.3807 0.6226
0.1316 0.3803 0.1278
0.1316 0.3803 0.8722
0.2509 0.7491 0.2555
0.2509 0.7491 0.7445
0.3803 0.1316 0.1278
0.3803 0.1316 0.8722
0.3807 0.1295 0.3774
0.3807 0.1295 0.6226
0.5000 0.5000 0.0000
0.5000 0.5000 0.5000
0.6193 0.8705 0.3774
0.6193 0.8705 0.6226
0.6197 0.8684 0.1278
0.6197 0.8684 0.8722
0.7491 0.2509 0.2555
0.7491 0.2509 0.7445
0.8684 0.6197 0.1278
0.8684 0.6197 0.8722
0.8705 0.6193 0.3774
0.8705 0.6193 0.6226
```

Computed properties:
As for the uncorrected formation energy: -0.284 eV per atom. As for the symmetry: No. 65. The crystal system is orthorhombic. The calculation puts the magnetization at 1.98 μB/f.u. The value obtained for the density of states at the Fermi level is 17.0 states/eV/cell. As for the calculated volume: 339.6 Å³/cell.

A crystal of YZr2Te relaxed with PBEsol, computed with meta-GGA SCAN.

Cell and atoms, written as POSCAR:
```
YZr2Te
1.0
3.4909 0.0000 0.0000
0.0000 5.3023 0.0000
-0.5988 0.0000 5.2595
Y Zr Te
1 2 1
Direct
0.0000 0.0000 0.0000
0.3389 0.5000 0.7470
0.6611 0.5000 0.2530
0.5000 0.0000 0.5000
```

Computed properties:
As for the uncorrected formation energy: -0.267 eV per atom. As for the symmetry: No. 10. The crystal system is monoclinic. The calculation puts the magnetization at 0.00 μB/f.u. The value obtained for the density of states at the Fermi level is 5.6 states/eV/cell. As for the calculated volume: 97.4 Å³/cell.

A crystal of K2TlCr relaxed with PBEsol, computed with meta-GGA SCAN.

Cell and atoms, written as POSCAR:
```
K2TlCr
1.0
4.0276 0.0000 0.0000
0.0000 5.1722 0.0000
-0.0231 0.0000 6.4134
K Tl Cr
2 1 1
Direct
0.0032 0.0000 0.2505
0.9968 0.0000 0.7495
0.5000 0.5000 0.0000
0.5000 0.5000 0.5000
```

Computed properties:
As for the symmetry: No. 10. The crystal system is monoclinic. The calculation puts the magnetization at 4.88 μB/f.u. The calculation puts the energy above the most stable polymorph in this dataset at 0.146 eV/atom. The value obtained for the density of states at the Fermi level is 2.2 states/eV/cell. As for the calculated volume: 133.6 Å³/cell. The value obtained for the energy relative to the elements is 0.3943 eV/atom.